Entry from Alexandria via LeMat-Bulk: a relaxed structure of CaAcCdAg (PBE-GGA).

Calculated values
ΔE_f = -0.3041 eV/atom
Raw total energy = -11.09 eV/cell
Crystal system = cubic
Theoretical density = 6.7 g/cm3
Space-group type = F-43m

```
CaAcCdAg
1.0
0.000 3.916 3.916
3.916 0.000 3.916
3.916 3.916 0.000
Ca Ac Cd Ag
1 1 1 1
Direct
0.000 0.000 0.000 Ca
0.500 0.500 0.500 Ac
0.750 0.750 0.750 Cd
0.250 0.250 0.250 Ag
```